Entry 1:
Material: PaFe3C
Method: DFT, PBE
State: relaxed

Calculated values
total energy	-0.3282	hartree per atom

Cell lengths 3.9136, 3.9136, 3.9136 Å; angles 90.00, 90.00, 90.00 degrees
Space group Pm-3m (No. 221)
One atom of each set of equivalent atoms:
1 Pa 0.0000 0.0000 0.0000 [1 per cell]
2 Fe 0.0000 0.5000 0.5000 [3 per cell]
3 C 0.5000 0.5000 0.5000 [1 per cell]

Entry 2:
Material: Lu2NiPb
Method: DFT, PBE
State: relaxed

Calculated values
total energy	-0.1655	hartree per atom

Cell lengths 7.1058, 7.1058, 7.1058 Å; angles 90.00, 90.00, 90.00 degrees
Space group F-43m (No. 216)
One atom of each set of equivalent atoms:
1 Lu 0.0000 0.0000 0.0000 [4 per cell]
2 Lu 0.2500 0.2500 0.2500 [4 per cell]
3 Ni 0.2500 0.2500 0.7500 [4 per cell]
4 Pb 0.0000 0.0000 0.5000 [4 per cell]

Entry 3:
Material: Co4SbP3
Method: DFT, PBE
State: relaxed

Calculated values
total energy	-0.2387	hartree per atom

Cell lengths 5.0403, 3.4018, 6.0513 Å; angles 90.00, 92.67, 90.00 degrees
Space group Pm (No. 6)
One atom of each set of equivalent atoms:
1 Co 0.0000 0.0000 0.0000 [1 per cell]
2 Co 0.0120 0.5000 0.3549 [1 per cell]
3 Co 0.5107 0.0000 0.9551 [1 per cell]
4 Co 0.5409 0.5000 0.4779 [1 per cell]
5 Sb 0.2013 0.0000 0.6206 [1 per cell]
6 P 0.3115 0.5000 0.1198 [1 per cell]
7 P 0.7226 0.0000 0.2890 [1 per cell]
8 P 0.7584 0.5000 0.8161 [1 per cell]

Entry 4:
Material: AcTaO3
Method: DFT, PBE
State: relaxed

Calculated values
total energy	-0.3044	hartree per atom

Cell lengths 3.6187, 3.6187, 5.6913 Å; angles 90.00, 90.00, 90.00 degrees
Space group P4mm (No. 99)
One atom of each set of equivalent atoms:
1 Ac 0.0000 0.0000 0.0000 [1 per cell]
2 Ta 0.5000 0.5000 0.4587 [1 per cell]
3 O 0.0000 0.0000 0.6124 [1 per cell]
4 O 0.0000 0.5000 0.2963 [2 per cell]

Entry 5:
Material: HoTmMg2Au4
Method: DFT, PBE
State: relaxed

Calculated values
total energy	-0.1448	hartree per atom

Cell lengths 4.8923, 6.7745, 4.8978 Å; angles 90.00, 90.00, 90.00 degrees
Space group Pmm2 (No. 25)
One atom of each set of equivalent atoms:
1 Ho 0.0000 0.0000 0.0000 [1 per cell]
2 Tm 0.5000 0.5000 0.4807 [1 per cell]
3 Mg 0.0000 0.5000 0.9929 [1 per cell]
4 Mg 0.5000 0.0000 0.4890 [1 per cell]
5 Au 0.0000 0.2517 0.5003 [2 per cell]
6 Au 0.5000 0.2536 0.9802 [2 per cell]

Entry 6:
Material: ZrNbFeB
Method: DFT, PBE
State: relaxed

Calculated values
offset from the most stable computed form	0.0000	eV per atom

Cell lengths 6.0805, 6.0805, 6.0805 Å; angles 90.00, 90.00, 90.00 degrees
Space group F-43m (No. 216)
One atom of each set of equivalent atoms:
1 Zr 0.0000 0.0000 0.0000 [4 per cell]
2 Nb 0.2500 0.2500 0.7500 [4 per cell]
3 Fe 0.0000 0.0000 0.5000 [4 per cell]
4 B 0.2500 0.2500 0.2500 [4 per cell]

Entry 7:
Material: BaPmNp
Method: DFT, PBE
State: relaxed

Calculated values
total energy	-0.1895	hartree per atom

Cell lengths 7.9981, 7.9981, 7.9981 Å; angles 90.00, 90.00, 90.00 degrees
Space group F-43m (No. 216)
One atom of each set of equivalent atoms:
1 Ba 0.0000 0.0000 0.0000 [4 per cell]
2 Pm 0.2500 0.2500 0.2500 [4 per cell]
3 Np 0.0000 0.0000 0.5000 [4 per cell]

Entry 8:
Material: ScCoOs2
Method: DFT, PBE
State: relaxed

Calculated values
offset from the most stable computed form	0.0000	eV per atom
energy relative to the elements	7.1	kJ per mole of atoms

Cell lengths 6.1831, 6.1831, 6.1831 Å; angles 90.00, 90.00, 90.00 degrees
Space group F-43m (No. 216)
One atom of each set of equivalent atoms:
1 Sc 0.0000 0.0000 0.0000 [4 per cell]
2 Co 0.2500 0.2500 0.2500 [4 per cell]
3 Os 0.0000 0.0000 0.5000 [4 per cell]
4 Os 0.2500 0.2500 0.7500 [4 per cell]

Entry 9:
Material: CdSn2Os
Method: DFT, PBE
State: relaxed

Calculated values
total energy	-0.1594	hartree per atom

Cell lengths 6.9432, 6.9432, 6.9432 Å; angles 90.00, 90.00, 90.00 degrees
Space group F-43m (No. 216)
One atom of each set of equivalent atoms:
1 Cd 0.0000 0.0000 0.0000 [4 per cell]
2 Sn 0.0000 0.0000 0.5000 [4 per cell]
3 Sn 0.2500 0.2500 0.2500 [4 per cell]
4 Os 0.2500 0.2500 0.7500 [4 per cell]

Entry 10:
Material: NbF
Method: DFT, PBE
State: relaxed

Calculated values
offset from the most stable computed form	0.3296	eV per atom

Cell lengths 4.9306, 4.9306, 4.9306 Å; angles 90.00, 90.00, 90.00 degrees
Space group F-43m (No. 216)
One atom of each set of equivalent atoms:
1 Nb 0.0000 0.0000 0.0000 [4 per cell]
2 F 0.2500 0.2500 0.2500 [4 per cell]

Entry 11:
Material: DyTmAl4Cu2
Method: DFT, PBE
State: relaxed

Calculated values
total energy	-0.1609	hartree per atom

Cell lengths 6.7754, 4.2021, 10.0306 Å; angles 90.00, 90.00, 90.00 degrees
Space group Amm2 (No. 38)
One atom of each set of equivalent atoms:
1 Dy 0.0000 0.0000 0.0000 [2 per cell]
2 Tm 0.5000 0.0000 0.1427 [2 per cell]
3 Al 0.1973 0.0000 0.7101 [4 per cell]
4 Al 0.3040 0.0000 0.4321 [4 per cell]
5 Cu 0.0000 0.0000 0.2837 [2 per cell]
6 Cu 0.5000 0.0000 0.8595 [2 per cell]

Entry 12:
Material: TbYPb4
Method: DFT, PBE
State: relaxed

Calculated values
total energy	-0.1510	hartree per atom

Cell lengths 3.3255, 6.3118, 19.3171 Å; angles 90.00, 90.00, 90.00 degrees
Space group Amm2 (No. 38)
One atom of each set of equivalent atoms:
1 Tb 0.0000 0.0000 0.0000 [2 per cell]
2 Y 0.0000 0.0000 0.1841 [2 per cell]
3 Pb 0.0000 0.0000 0.3500 [2 per cell]
4 Pb 0.0000 0.0000 0.5111 [2 per cell]
5 Pb 0.0000 0.0000 0.6759 [2 per cell]
6 Pb 0.0000 0.0000 0.8359 [2 per cell]